PmHo2Zn: optimized geometry, PBE-GGA.

The structure belongs to space group R-3m (No. 166, hexagonal axes); the cell edges are 3.5742, 3.5742 and 30.9879 Å and the angles 90.00°, 90.00° and 120.00°. The distinct sites, in fractional coordinates, are Pm at (0.0000, 0.0000, 0.0000), Ho at (0.0000, 0.0000, 0.2382) and Zn at (0.0000, 0.0000, 0.5000).

As for the density of states at the Fermi level: 9.29 states/eV/cell. The value obtained for the formation enthalpy at 0 K is -0.073 eV/atom. As for the crystal system: trigonal. The value obtained for the total energy is -3.87 eV per atom.

---

Pm2Ho2Zn3: optimized geometry, PBE-GGA.

The structure belongs to space group P-1 (No. 2); the cell edges are 5.0200, 5.0262 and 8.7361 Å and the angles 73.41°, 73.43° and 60.10°. The distinct sites, in fractional coordinates, are Pm at (0.1248, 0.1274, 0.1207), Ho at (0.3753, 0.3767, 0.3715), Zn at (0.0000, 0.0000, 0.5000) and Zn at (0.2553, 0.2538, 0.7365).

As for the density of states at the Fermi level: 9.30 states/eV/cell. The value obtained for the formation enthalpy at 0 K is -0.199 eV/atom. As for the crystal system: triclinic. The value obtained for the total energy is -3.41 eV per atom.

---

Pm2HoZn2: optimized geometry, PBE-GGA.

The structure belongs to space group Cmmm (No. 65); the cell edges are 3.6325, 20.3234 and 3.5535 Å and the angles 90.00°, 90.00° and 90.00°. The distinct sites, in fractional coordinates, are Pm at (0.0000, 0.1738, 0.0000), Ho at (0.0000, 0.0000, 0.0000) and Zn at (0.0000, 0.4178, 0.5000).

As for the density of states at the Fermi level: 11.63 states/eV/cell. The value obtained for the formation enthalpy at 0 K is -0.196 eV/atom. As for the crystal system: orthorhombic. The value obtained for the total energy is -3.52 eV per atom.

---

Pm5HoZn6: optimized geometry, PBE-GGA.

The structure belongs to space group Cmmm (No. 65); the cell edges are 5.1358, 15.4638 and 7.2881 Å and the angles 90.00°, 90.00° and 90.00°. The distinct sites, in fractional coordinates, are Pm at (0.0000, 0.0000, 0.0000), Pm at (0.0000, 0.3318, 0.0000), Pm at (0.0000, 0.3343, 0.5000), Ho at (0.0000, 0.0000, 0.5000), Zn at (0.0000, 0.1635, 0.2544) and Zn at (0.0000, 0.5000, 0.2564).

As for the density of states at the Fermi level: 26.94 states/eV/cell. The value obtained for the formation enthalpy at 0 K is -0.318 eV/atom. As for the crystal system: orthorhombic. The value obtained for the total energy is -3.32 eV per atom.

---

Pm4Ho3Zn: optimized geometry, PBE-GGA.

The structure belongs to space group P4/mmm (No. 123); the cell edges are 3.6219, 3.6219 and 18.7350 Å and the angles 90.00°, 90.00° and 90.00°. The distinct sites, in fractional coordinates, are Pm at (0.0000, 0.0000, 0.0978), Pm at (0.0000, 0.0000, 0.3666), Ho at (0.5000, 0.5000, 0.2342), Ho at (0.5000, 0.5000, 0.5000) and Zn at (0.5000, 0.5000, 0.0000).

As for the density of states at the Fermi level: 9.95 states/eV/cell. The value obtained for the formation enthalpy at 0 K is -0.063 eV/atom. As for the crystal system: tetragonal. The value obtained for the total energy is -4.31 eV per atom.

---

PmHo3Zn8: optimized geometry, PBE-GGA.

The structure belongs to space group P3m1 (No. 156); the cell edges are 5.5537, 5.5537 and 8.6715 Å and the angles 90.00°, 90.00° and 120.00°. The distinct sites, in fractional coordinates, are Pm at (0.0000, 0.0000, 0.0000), Ho at (0.0000, 0.0000, 0.3861), Ho at (0.6667, 0.3333, 0.5061), Ho at (0.6667, 0.3333, 0.8900), Zn at (0.1659, 0.3317, 0.6913), Zn at (0.3333, 0.6667, 0.4443), Zn at (0.3333, 0.6667, 0.9462) and Zn at (0.5022, 0.0044, 0.1978).

As for the density of states at the Fermi level: 7.95 states/eV/cell. The value obtained for the formation enthalpy at 0 K is -0.318 eV/atom. As for the crystal system: trigonal. The value obtained for the total energy is -2.71 eV per atom.

---

Pm3Ho2Zn3: optimized geometry, PBE-GGA.

The structure belongs to space group Immm (No. 71); the cell edges are 3.6555, 5.2847 and 21.6224 Å and the angles 90.00°, 90.00° and 90.00°. The distinct sites, in fractional coordinates, are Pm at (0.0000, 0.0000, 0.0000), Pm at (0.0000, 0.5000, 0.1193), Ho at (0.0000, 0.0000, 0.2300), Zn at (0.0000, 0.0000, 0.5000) and Zn at (0.0000, 0.5000, 0.3812).

As for the density of states at the Fermi level: 19.21 states/eV/cell. The value obtained for the formation enthalpy at 0 K is -0.237 eV/atom. As for the crystal system: orthorhombic. The value obtained for the total energy is -3.64 eV per atom.

---

Pm2Ho3Zn3: optimized geometry, PBE-GGA.

The structure belongs to space group Immm (No. 71); the cell edges are 3.6370, 5.1432 and 21.6904 Å and the angles 90.00°, 90.00° and 90.00°. The distinct sites, in fractional coordinates, are Pm at (0.0000, 0.0000, 0.2274), Ho at (0.0000, 0.0000, 0.0000), Ho at (0.0000, 0.5000, 0.1151), Zn at (0.0000, 0.0000, 0.5000) and Zn at (0.0000, 0.5000, 0.3885).

As for the density of states at the Fermi level: 15.03 states/eV/cell. The value obtained for the formation enthalpy at 0 K is -0.234 eV/atom. As for the crystal system: orthorhombic. The value obtained for the total energy is -3.62 eV per atom.

---

Look up the density of states at the Fermi level of the sixth one.
7.95 states/eV/cell

---

Which value of density of states at the Fermi level does entry 4 give?
26.94 states/eV/cell

---

What is the density of states at the Fermi level in the second record?
9.30 states/eV/cell